DFT (GGA-PBE) results for a geometry-optimized Ni2Ir4Os structure.

Its total magnetization is 0.00 μB/f.u. The energy above the most stable polymorph in this dataset is 0.090 eV per atom. As for the symmetry: I4/mmm. The value obtained for the calculated formation energy is 2.13 eV per formula unit. Its total energy is -0.2945 hartree per atom.

Lattice parameters (Å, degrees): 7.4418 5.2751 5.2751 60.16 45.14 45.14
Closest atoms and distances in Å follow each position.
Sites, in units of the cell vectors:
1 Ir 0.4999 0.0002 0.5000  4 Ni 2.64, 2 Os 2.64, 4 Ir 2.64
2 Ir 0.9999 0.5000 0.0002  4 Ni 2.64, 2 Os 2.64, 4 Ir 2.64
3 Ir 0.0001 0.9998 0.5000  4 Ni 2.64, 2 Os 2.64, 4 Ir 2.64
4 Ir 0.5001 0.5000 0.9998  4 Ni 2.64, 2 Os 2.64, 4 Ir 2.64
5 Ni 0.5000 0.5000 0.5000  8 Ir 2.64, 2 Os 2.64
6 Ni 0.0000 0.5000 0.5000  8 Ir 2.64, 2 Os 2.64
7 Os 0.0000 0.0000 0.0000  8 Ir 2.64, 4 Ni 2.64